# GGA+U Rb3Ho3WO8, optimized geometry
# size of the total moment: 2.000 μB per formula unit
# VASP energy: -0.2511 hartree per atom
data_Rb3Ho3WO8
_cell_length_a 11.7972
_cell_length_b 6.8562
_cell_length_c 7.6861
_cell_angle_alpha 90.00
_cell_angle_beta 120.81
_cell_angle_gamma 90.00
_space_group_name_H-M_alt 'C 1 2/m 1'
_space_group_IT_number 12
loop_
_space_group_symop_operation_xyz
'x,y,z'
'-x,-y,-z'
'-x,y,-z'
'x,-y,z'
'x+1/2,y+1/2,z'
'-x+1/2,-y+1/2,-z'
'-x+1/2,y+1/2,-z'
'x+1/2,-y+1/2,z'
loop_
_atom_site_label
_atom_site_type_symbol
_atom_site_fract_x
_atom_site_fract_y
_atom_site_fract_z
Rb1 Rb 0.0000 0.0000 0.0000
Rb2 Rb 0.2500 0.2500 0.0000
Ho1 Ho 0.0000 0.5000 0.5000
Ho2 Ho 0.2500 0.2500 0.5000
W1 W 0.0000 0.0000 0.5000
O1 O 0.0236 0.2360 0.3367
O2 O 0.2085 0.0000 0.6635
O3 O 0.2244 0.5000 0.6705